(1)
PuPaNbTc | PBE | optimized geometry

* E: -11.041 eV/atom
* ΔE_f: 0.025 eV per atom
* DOS at the Fermi energy: 38.92 states/eV/cell
* crystal system: cubic

abc: 6.7846 6.7846 6.7846
angles: 90.00 90.00 90.00
With the nearest neighbours (Å) after each atom.
Space group F-43m (No. 216)
Symmetry-distinct sites (fractional):
Pu 0.0000 0.0000 0.0000 [4 per cell]  4 Nb 2.94, 4 Pa 2.94
Pa 0.2500 0.2500 0.2500 [4 per cell]  4 Tc 2.94, 4 Pu 2.94
Nb 0.2500 0.2500 0.7500 [4 per cell]  4 Tc 2.94, 4 Pu 2.94
Tc 0.0000 0.0000 0.5000 [4 per cell]  4 Nb 2.94, 4 Pa 2.94

---

(2)
PuUPaNb | PBE | optimized geometry

* E: -11.041 eV/atom
* ΔE_f: 0.256 eV per atom
* DOS at the Fermi energy: 41.48 states/eV/cell
* crystal system: cubic

abc: 7.0130 7.0130 7.0130
angles: 90.00 90.00 90.00
With the nearest neighbours (Å) after each atom.
Space group F-43m (No. 216)
Symmetry-distinct sites (fractional):
Pu 0.0000 0.0000 0.0000 [4 per cell]  4 Nb 3.04, 4 Pa 3.04
U 0.0000 0.0000 0.5000 [4 per cell]  4 Nb 3.04, 4 Pa 3.04
Pa 0.2500 0.2500 0.7500 [4 per cell]  4 U 3.04, 4 Pu 3.04
Nb 0.2500 0.2500 0.2500 [4 per cell]  4 U 3.04, 4 Pu 3.04

---

(3)
PuPaNbZn | PBE | optimized geometry

* E: -8.705 eV/atom
* ΔE_f: 0.088 eV per atom
* DOS at the Fermi energy: 33.80 states/eV/cell
* crystal system: cubic

abc: 6.8429 6.8429 6.8429
angles: 90.00 90.00 90.00
With the nearest neighbours (Å) after each atom.
Space group F-43m (No. 216)
Symmetry-distinct sites (fractional):
Pu 0.0000 0.0000 0.0000 [4 per cell]  4 Zn 2.96, 4 Pa 2.96
Pa 0.2500 0.2500 0.2500 [4 per cell]  4 Nb 2.96, 4 Pu 2.96
Nb 0.0000 0.0000 0.5000 [4 per cell]  4 Pa 2.96, 4 Zn 2.96
Zn 0.2500 0.2500 0.7500 [4 per cell]  4 Nb 2.96, 4 Pu 2.96

---

(4)
PuZrPaNb | PBE | optimized geometry

* E: -10.518 eV/atom
* ΔE_f: 0.093 eV per atom
* DOS at the Fermi energy: 23.05 states/eV/cell
* crystal system: cubic

abc: 7.0773 7.0773 7.0773
angles: 90.00 90.00 90.00
With the nearest neighbours (Å) after each atom.
Space group F-43m (No. 216)
Symmetry-distinct sites (fractional):
Pu 0.0000 0.0000 0.0000 [4 per cell]  4 Zr 3.06, 4 Pa 3.06
Zr 0.2500 0.2500 0.7500 [4 per cell]  4 Nb 3.06, 4 Pu 3.06
Pa 0.2500 0.2500 0.2500 [4 per cell]  4 Pu 3.06, 4 Nb 3.06
Nb 0.0000 0.0000 0.5000 [4 per cell]  4 Pa 3.06, 4 Zr 3.06

---

> Which of these has the highest ΔE_f?

PuUPaNb

---

What did the third record say?
PuPaNbZn | PBE | optimized geometry

* E: -8.705 eV/atom
* ΔE_f: 0.088 eV per atom
* DOS at the Fermi energy: 33.80 states/eV/cell
* crystal system: cubic

abc: 6.8429 6.8429 6.8429
angles: 90.00 90.00 90.00
With the nearest neighbours (Å) after each atom.
Space group F-43m (No. 216)
Symmetry-distinct sites (fractional):
Pu 0.0000 0.0000 0.0000 [4 per cell]  4 Zn 2.96, 4 Pa 2.96
Pa 0.2500 0.2500 0.2500 [4 per cell]  4 Nb 2.96, 4 Pu 2.96
Nb 0.0000 0.0000 0.5000 [4 per cell]  4 Pa 2.96, 4 Zn 2.96
Zn 0.2500 0.2500 0.7500 [4 per cell]  4 Nb 2.96, 4 Pu 2.96

---

> Which formula does entry 4 have?

PuZrPaNb